Crystalline Y2HoS4 at its relaxed geometry, computed with PBE-GGA.

It has space group Cmcm (No. 63), with a = 3.797 Å, b = 12.938 Å, c = 13.127 Å, α = 90.00°, β = 90.00° and γ = 90.00°. The asymmetric unit holds Y at (0.000, 0.129, 0.070), Ho at (0.000, 0.373, 0.250), S at (0.000, 0.025, 0.250), S at (0.000, 0.223, 0.623) and S at (0.000, 0.500, 0.000).

For the density of states at the Fermi level, the calculation gives 8.46 states/eV/cell. For the size of the total moment, the calculation gives 0.00 μB per formula unit. As for the offset from the most stable computed form: 0 meV per atom.